(1)
Here is a geometry-optimized Ac2PuTiO6 structure from Alexandria via LeMat-Bulk. Energies are from PBE.

Results
The uncorrected formation energy comes out at -2.9195 eV/atom. As for the magnetization: 5.4 μB per formula unit. The calculation puts the calculated volume at 152.0 Å³/f.u. The uncorrected energy is -89.4 eV per cell.

a b c (Å): 4.2248 4.2248 8.5165
angles (deg): 90.00 90.00 90.00
Last column: nearest neighbours and their distance in Å.
Space group P4/mmm (No. 123)
One atom of each set of equivalent atoms:
1 Ac 0.0000 0.0000 0.2191 [2 per cell]  8 O 2.82-2.99
2 Pu 0.5000 0.5000 0.5000 [1 per cell]  6 O 2.11-2.29
3 Ti 0.5000 0.5000 0.0000 [1 per cell]  6 O 1.96-2.11
4 O 0.0000 0.5000 0.0000 [2 per cell]  2 Ti 2.11
5 O 0.0000 0.5000 0.5000 [2 per cell]  2 Pu 2.11
6 O 0.5000 0.5000 0.2306 [2 per cell]  1 Ti 1.96



(2)
Here is a geometry-optimized AcPuTiO6 structure from Alexandria via LeMat-Bulk. Energies are from PBE.

Results
The uncorrected formation energy comes out at -3.0793 eV/atom. As for the magnetization: 3.0 μB per formula unit. The calculation puts the calculated volume at 138.4 Å³/f.u. The uncorrected energy is -83.8 eV per cell.

a b c (Å): 5.4909 5.4909 5.3008
angles (deg): 90.00 90.00 120.00
Last column: nearest neighbours and their distance in Å.
Space group P312 (No. 149)
One atom of each set of equivalent atoms:
1 Ac 0.0000 0.0000 0.0000 [1 per cell]  6 O 2.55
2 Pu 0.3333 0.6667 0.5000 [1 per cell]  6 O 2.13
3 Ti 0.6667 0.3333 0.5000 [1 per cell]  6 O 1.99
4 O 0.3794 0.0185 0.7090 [6 per cell]  1 Ti 1.99, 1 Pu 2.13



(3)
Here is a geometry-optimized AcPu2TiO8 structure from Alexandria via LeMat-Bulk. Energies are from PBE.

Results
The uncorrected formation energy comes out at -2.9656 eV/atom. As for the magnetization: 7.0 μB per formula unit. The calculation puts the calculated volume at 179.6 Å³/f.u. The uncorrected energy is -231.8 eV per cell.

a b c (Å): 7.0205 7.3078 6.9997
angles (deg): 90.00 90.00 90.00
Last column: nearest neighbours and their distance in Å.
Space group Cmmm (No. 65)
One atom of each set of equivalent atoms:
1 Ac 0.0000 0.0000 0.0000 [2 per cell]  6 O 2.42-2.47
2 Pu 0.0000 0.5000 0.2633 [4 per cell]  6 O 2.18-2.22
3 Ti 0.0000 0.0000 0.5000 [2 per cell]  4 O 1.96
4 O 0.0000 0.3009 0.5000 [4 per cell]  1 Ti 2.20, 2 Pu 2.21
5 O 0.0000 0.3317 0.0000 [4 per cell]  2 Pu 2.22, 1 Ac 2.42, 1 O 2.46
6 O 0.1915 0.0000 0.2963 [8 per cell]  1 Ti 1.96, 1 Pu 2.18



(4)
Here is a geometry-optimized AcPu2TlO8 structure from Alexandria via LeMat-Bulk. Energies are from PBE.

Results
The uncorrected formation energy comes out at -2.3925 eV/atom. As for the magnetization: 6.0 μB per formula unit. The calculation puts the calculated volume at 168.8 Å³/f.u. The uncorrected energy is -207.0 eV per cell.

a b c (Å): 5.5836 5.5836 10.8269
angles (deg): 90.00 90.00 90.00
Last column: nearest neighbours and their distance in Å.
Space group I-4 (No. 82)
One atom of each set of equivalent atoms:
1 Ac 0.0000 0.0000 0.0000 [2 per cell]  8 O 2.49-2.57
2 Pu 0.0000 0.0000 0.5000 [2 per cell]  8 O 2.22-2.39
3 Pu 0.0000 0.5000 0.2500 [2 per cell]  8 O 2.24-2.38
4 Tl 0.0000 0.5000 0.7500 [2 per cell]  4 O 2.26
5 O 0.1938 0.7335 0.3848 [8 per cell]  2 Pu 2.22-2.24, 1 O 2.47, 1 Ac 2.49
6 O 0.2267 0.7563 0.6381 [8 per cell]  1 Tl 2.26, 2 Pu 2.38-2.39, 1 O 2.47



(5)
Here is a geometry-optimized Ac3PuTl3O8 structure from Alexandria via LeMat-Bulk. Energies are from PBE.

Results
The uncorrected formation energy comes out at -2.3458 eV/atom. As for the magnetization: 4.0 μB per formula unit. The calculation puts the calculated volume at 325.6 Å³/f.u. The uncorrected energy is -325.8 eV per cell.

a b c (Å): 7.6259 7.6259 19.3962
angles (deg): 90.00 90.00 120.00
Last column: nearest neighbours and their distance in Å.
Space group R-3m (No. 166, hexagonal axes)
One atom of each set of equivalent atoms:
1 Ac 0.0000 0.5000 0.0000 [9 per cell]  6 O 2.49-2.56
2 Pu 0.0000 0.0000 0.0000 [3 per cell]  6 O 2.26
3 Tl 0.0000 0.5000 0.5000 [9 per cell]  6 O 3.00-3.03
4 O 0.0000 0.0000 0.2738 [6 per cell]  3 Ac 2.49
5 O 0.0332 0.5166 0.7230 [18 per cell]  1 Pu 2.26



(6)
Here is a geometry-optimized Ac2PuTlO6 structure from Alexandria via LeMat-Bulk. Energies are from PBE.

Results
The uncorrected formation energy comes out at -2.4676 eV/atom. As for the magnetization: 3.0 μB per formula unit. The calculation puts the calculated volume at 189.5 Å³/f.u. The uncorrected energy is -79.3 eV per cell.

a b c (Å): 5.6528 5.6528 5.9297
angles (deg): 90.00 90.00 90.00
Last column: nearest neighbours and their distance in Å.
Space group P4mm (No. 99)
One atom of each set of equivalent atoms:
1 Ac 0.0000 0.5000 0.0000 [2 per cell]  4 O 2.50
2 Pu 0.0000 0.0000 0.5900 [1 per cell]  5 O 2.10-2.24
3 Tl 0.5000 0.5000 0.5179 [1 per cell]  5 O 2.42-2.51
4 O 0.0000 0.0000 0.2128 [1 per cell]  1 Pu 2.24
5 O 0.2360 0.2360 0.7473 [4 per cell]  1 Pu 2.10
6 O 0.5000 0.5000 0.1104 [1 per cell]  1 Tl 2.42



(7)
Here is a geometry-optimized AcPuTl2O6 structure from Alexandria via LeMat-Bulk. Energies are from PBE.

Results
The uncorrected formation energy comes out at -2.1433 eV/atom. As for the magnetization: 1.0 μB per formula unit. The calculation puts the calculated volume at 181.2 Å³/f.u. The uncorrected energy is -148.7 eV per cell.

a b c (Å): 6.3698 6.3330 11.0075
angles (deg): 90.00 125.30 90.00
Last column: nearest neighbours and their distance in Å.
Space group P2_1/c (No. 14)
One atom of each set of equivalent atoms:
1 Ac 0.0000 0.0000 0.0000 [2 per cell]  6 O 2.50
2 Pu 0.5000 0.0000 0.5000 [2 per cell]  6 O 2.03
3 Tl 0.2524 0.0033 0.7515 [4 per cell]  9 O 2.91-3.22
4 O 0.2342 0.0020 0.2762 [4 per cell]  1 Pu 2.03
5 O 0.2783 0.7036 0.0220 [4 per cell]  1 Pu 2.03
6 O 0.3198 0.2472 0.5208 [4 per cell]  1 Pu 2.03



(8)
Here is a geometry-optimized Ac2TmPuO8 structure from Alexandria via LeMat-Bulk. Energies are from PBE.

Results
The uncorrected formation energy comes out at -2.9883 eV/atom. As for the magnetization: 1.0 μB per formula unit. The calculation puts the calculated volume at 185.7 Å³/f.u. The uncorrected energy is -102.5 eV per cell.

a b c (Å): 4.3114 7.5564 5.7433
angles (deg): 90.00 97.08 90.00
Last column: nearest neighbours and their distance in Å.
Space group P2/m (No. 10)
One atom of each set of equivalent atoms:
1 Ac 0.0000 0.2470 0.0000 [2 per cell]  6 O 2.38-2.64
2 Tm 0.5000 0.0000 0.5000 [1 per cell]  2 O 2.18
3 Pu 0.5000 0.5000 0.5000 [1 per cell]  6 O 1.94-2.12
4 O 0.0690 0.0000 0.2589 [2 per cell]  1 Tm 2.18, 2 Ac 2.38
5 O 0.1018 0.5000 0.3021 [2 per cell]  1 Pu 1.94
6 O 0.4379 0.2798 0.7193 [4 per cell]  1 Pu 2.12



(9)
Here is a geometry-optimized AcTmPuO6 structure from Alexandria via LeMat-Bulk. Energies are from PBE.

Results
The uncorrected formation energy comes out at -3.1246 eV/atom. As for the magnetization: 2.0 μB per formula unit. The calculation puts the calculated volume at 149.3 Å³/f.u. The uncorrected energy is -161.6 eV per cell.

a b c (Å): 5.7596 5.7596 10.3950
angles (deg): 90.00 90.00 120.00
Last column: nearest neighbours and their distance in Å.
Space group P-31c (No. 163)
One atom of each set of equivalent atoms:
1 Ac 0.0000 0.0000 0.0000 [2 per cell]  6 O 2.56
2 Tm 0.3333 0.6667 0.2500 [2 per cell]  6 O 2.24
3 Pu 0.3333 0.6667 0.7500 [2 per cell]  6 O 2.08
4 O 0.0203 0.3722 0.6422 [12 per cell]  1 Pu 2.08, 1 Tm 2.24



(10)
Here is a geometry-optimized Ac2TmPuO6 structure from Alexandria via LeMat-Bulk. Energies are from PBE.

Results
The uncorrected formation energy comes out at -3.2775 eV/atom. As for the magnetization: 5.0 μB per formula unit. The calculation puts the calculated volume at 164.8 Å³/f.u. The uncorrected energy is -179.1 eV per cell.

a b c (Å): 6.0488 6.2522 10.6060
angles (deg): 90.00 124.72 90.00
Last column: nearest neighbours and their distance in Å.
Space group P2_1/c (No. 14)
One atom of each set of equivalent atoms:
1 Ac 0.2324 0.0492 0.2470 [4 per cell]  4 O 2.48-2.60
2 Tm 0.5000 0.0000 0.0000 [2 per cell]  6 O 2.23-2.27
3 Pu 0.0000 0.0000 0.5000 [2 per cell]  6 O 2.33-2.38
4 O 0.1423 0.1921 0.9415 [4 per cell]  1 Tm 2.23, 1 Pu 2.33
5 O 0.2364 0.7065 0.9307 [4 per cell]  1 Tm 2.26, 1 Pu 2.33, 1 Ac 2.51
6 O 0.3759 0.0553 0.7568 [4 per cell]  1 Tm 2.27, 1 Pu 2.38, 1 Ac 2.48



(11)
Here is a geometry-optimized AcPu2UO8 structure from Alexandria via LeMat-Bulk. Energies are from PBE.

Results
The uncorrected formation energy comes out at -3.2166 eV/atom. As for the magnetization: 9.0 μB per formula unit. The calculation puts the calculated volume at 167.9 Å³/f.u. The uncorrected energy is -122.3 eV per cell.

a b c (Å): 4.0020 5.5054 7.6203
angles (deg): 90.00 90.00 90.00
Last column: nearest neighbours and their distance in Å.
Space group Pmmm (No. 47)
One atom of each set of equivalent atoms:
1 Ac 0.0000 0.0000 0.0000 [1 per cell]  8 O 2.50-2.54
2 Pu 0.5000 0.5000 0.2548 [2 per cell]  8 O 2.31-2.43
3 U 0.0000 0.0000 0.5000 [1 per cell]  8 O 2.17-2.39
4 O 0.0000 0.2510 0.2804 [4 per cell]  1 U 2.17
5 O 0.5000 0.2374 0.5000 [2 per cell]  2 Pu 2.36, 2 U 2.39, 5 O 2.61
6 O 0.5000 0.2729 0.0000 [2 per cell]  2 Pu 2.31, 1 O 2.50, 2 Ac 2.50